Mn2ZnS4 | PBE | optimized geometry

Properties
mass density	3.513	g cm⁻³
M_tot	1.128	μB/atom
energy above the lowest structure with this stoichiometry	0.628	eV/atom

Lattice parameters (Å, degrees): 4.712 4.712 7.272 71.10 71.10 90.00
Fractional coordinates of all 7 atoms:
1 Zn 0.000 0.000 0.000
2 Mn 0.605 0.605 0.790
3 Mn 0.395 0.395 0.210
4 S 0.770 0.770 0.460
5 S 0.230 0.230 0.540
6 S 0.000 0.500 0.000
7 S 0.500 0.000 0.000

Ti17N6O24 | PBE | optimized geometry

Properties
mass density	3.833	g cm⁻³
M_tot	0.000	μB/atom
energy above the lowest structure with this stoichiometry	0.002	eV/atom

Lattice parameters (Å, degrees): 9.664 10.751 11.431 69.24 90.00 90.00
Fractional coordinates of all 94 atoms:
1 Ti 0.144 0.577 0.145
2 Ti 0.141 0.922 0.030
3 Ti 0.805 0.752 0.083
4 Ti 0.639 0.576 0.975
5 Ti 0.699 0.250 0.084
6 Ti 0.361 0.424 0.025
7 Ti 0.363 0.058 0.147
8 Ti 0.637 0.942 0.853
9 Ti 0.301 0.750 0.916
10 Ti 0.856 0.423 0.855
11 Ti 0.859 0.078 0.970
12 Ti 0.803 0.750 0.750
13 Ti 0.195 0.248 0.917
14 Ti 0.136 0.570 0.810
15 Ti 0.136 0.930 0.690
16 Ti 0.363 0.429 0.690
17 Ti 0.363 0.071 0.810
18 Ti 0.301 0.750 0.584
19 Ti 0.639 0.924 0.525
20 Ti 0.637 0.558 0.647
21 Ti 0.856 0.077 0.645
22 Ti 0.859 0.422 0.530
23 Ti 0.195 0.252 0.583
24 Ti 0.141 0.578 0.470
25 Ti 0.144 0.923 0.355
26 Ti 0.805 0.748 0.417
27 Ti 0.699 0.250 0.416
28 Ti 0.637 0.929 0.190
29 Ti 0.363 0.442 0.353
30 Ti 0.361 0.076 0.475
31 Ti 0.637 0.571 0.310
32 Ti 0.197 0.250 0.250
33 Ti 0.864 0.430 0.190
34 Ti 0.864 0.070 0.310
35 N 0.220 0.750 0.073
36 N 0.731 0.750 0.916
37 N 0.269 0.250 0.084
38 N 0.780 0.250 0.927
39 N 0.227 0.750 0.750
40 N 0.267 0.250 0.750
41 N 0.731 0.750 0.584
42 N 0.780 0.250 0.573
43 N 0.220 0.750 0.427
44 N 0.733 0.750 0.250
45 N 0.269 0.250 0.416
46 N 0.773 0.250 0.250
47 O 0.952 0.879 0.046
48 O 0.689 0.937 0.021
49 O 0.952 0.617 0.128
50 O 0.688 0.567 0.144
51 O 0.810 0.438 0.022
52 O 0.550 0.123 0.126
53 O 0.450 0.877 0.874
54 O 0.814 0.065 0.146
55 O 0.548 0.382 0.040
56 O 0.452 0.618 0.960
57 O 0.186 0.935 0.854
58 O 0.190 0.562 0.978
59 O 0.688 0.936 0.688
60 O 0.048 0.383 0.872
61 O 0.953 0.879 0.701
62 O 0.953 0.621 0.799
63 O 0.688 0.564 0.812
64 O 0.312 0.433 0.856
65 O 0.311 0.063 0.979
66 O 0.048 0.121 0.954
67 O 0.190 0.938 0.522
68 O 0.823 0.452 0.683
69 O 0.543 0.108 0.798
70 O 0.823 0.048 0.817
71 O 0.543 0.392 0.702
72 O 0.452 0.882 0.540
73 O 0.450 0.623 0.626
74 O 0.186 0.565 0.646
75 O 0.952 0.883 0.372
76 O 0.311 0.437 0.521
77 O 0.312 0.067 0.644
78 O 0.048 0.379 0.546
79 O 0.048 0.117 0.628
80 O 0.952 0.621 0.454
81 O 0.688 0.933 0.356
82 O 0.689 0.563 0.479
83 O 0.814 0.435 0.354
84 O 0.548 0.118 0.460
85 O 0.457 0.892 0.202
86 O 0.177 0.548 0.317
87 O 0.177 0.952 0.183
88 O 0.810 0.062 0.478
89 O 0.550 0.377 0.374
90 O 0.457 0.608 0.298
91 O 0.312 0.064 0.312
92 O 0.047 0.379 0.201
93 O 0.312 0.436 0.188
94 O 0.047 0.121 0.299

ZrScPaO6 | PBE | optimized geometry

Properties
mass density	6.307	g cm⁻³
M_tot	0.000	μB/atom

Lattice parameters (Å, degrees): 5.424 5.424 9.573 90.00 90.00 120.00
Fractional coordinates of all 18 atoms:
1 Zr 0.667 0.333 0.250
2 Zr 0.333 0.667 0.750
3 Sc 0.333 0.667 0.250
4 Sc 0.667 0.333 0.750
5 Pa 0.000 0.000 0.000
6 Pa 0.000 0.000 0.500
7 O 0.665 0.665 0.132
8 O 0.999 0.335 0.132
9 O 0.335 0.999 0.632
10 O 0.001 0.665 0.868
11 O 0.335 0.335 0.368
12 O 0.999 0.665 0.368
13 O 0.665 0.999 0.868
14 O 0.665 0.001 0.368
15 O 0.001 0.335 0.632
16 O 0.335 0.001 0.132
17 O 0.665 0.665 0.632
18 O 0.335 0.335 0.868

Sequential E_form (uncorrected) output: 37; -2651; -3443 meV/atom